[1]
Entry from Alexandria via LeMat-Bulk: a relaxed DyV2Tc crystal (PBE).

## Properties
- Total magnetization: 0.000 μB/atom
- N(E_F): 3.23 states/eV/f.u.
- ΔE_f: 0.171 eV per atom

```
data_DyV2Tc
_chemical_formula_sum 'Dy3 V6 Tc3'
_cell_length_a 4.1996
_cell_length_b 4.1996
_cell_length_c 15.3156
_cell_angle_alpha 90.00
_cell_angle_beta 90.00
_cell_angle_gamma 120.00
_symmetry_space_group_name_H-M 'R -3 m'
_symmetry_Int_Tables_number 166
_symmetry_space_group_name_Hall '-R 3 2"'
loop_
_atom_site_label
_atom_site_type_symbol
_atom_site_fract_x
_atom_site_fract_y
_atom_site_fract_z
_atom_site_occupancy
Dy1 Dy 0.0000 0.0000 0.0000 1
V1 V 0.0000 0.0000 0.2006 1
Tc1 Tc 0.0000 0.0000 0.5000 1
```


[2]
Entry from Alexandria via LeMat-Bulk: a relaxed DyVTc4 crystal (PBE).

## Properties
- Total magnetization: 0.153 μB/atom
- N(E_F): 9.98 states/eV/f.u.
- ΔE_f: 0.088 eV per atom

```
data_DyVTc4
_chemical_formula_sum 'Dy4 V4 Tc16'
_cell_length_a 7.4181
_cell_length_b 7.4181
_cell_length_c 7.4181
_cell_angle_alpha 90.00
_cell_angle_beta 90.00
_cell_angle_gamma 90.00
_symmetry_space_group_name_H-M 'F -4 3 m'
_symmetry_Int_Tables_number 216
_symmetry_space_group_name_Hall 'F -4 2 3'
loop_
_atom_site_label
_atom_site_type_symbol
_atom_site_fract_x
_atom_site_fract_y
_atom_site_fract_z
_atom_site_occupancy
Dy1 Dy 0.0000 0.0000 0.0000 1
V1 V 0.2500 0.2500 0.7500 1
Tc1 Tc 0.1247 0.1247 0.3753 1
```